# BrCl (PBE-GGA, optimized geometry)
# - Calculated total energy: -13.37 eV per cell
# - Formation energy without anion corrections: 0.088 eV per atom
# - E above lowest polymorph: 0.1155 eV per atom
# - Calculated volume: 50.93 Å³/atom
# - D(E_F): 6.781 states/eV/cell
data_BrCl
_chemical_formula_sum 'Br4 Cl4'
_cell_length_a 9.356
_cell_length_b 9.356
_cell_length_c 4.654
_cell_angle_alpha 90.00
_cell_angle_beta 90.00
_cell_angle_gamma 90.00
_space_group_name_H-M_alt 'P 1'
_space_group_IT_number 1
loop_
_space_group_symop_operation_xyz
'x,y,z'
loop_
_atom_site_label
_atom_site_type_symbol
_atom_site_fract_x
_atom_site_fract_y
_atom_site_fract_z
Br1 Br 0.275 0.275 0.000
Br2 Br 0.775 0.225 0.500
Br3 Br 0.225 0.775 0.500
Br4 Br 0.725 0.725 0.000
Cl1 Cl 0.276 0.724 0.000
Cl2 Cl 0.776 0.776 0.500
Cl3 Cl 0.224 0.224 0.500
Cl4 Cl 0.724 0.276 0.000